1.
The following is a DFT calculation (GGA-PBE) of an optimized crystal structure of Li3ErAu3.

Properties
excess energy over the best structure of this formula in the dataset	0.0	meV per atom
energy of formation from the pure elements	-49.11	kJ/mol of atoms

a = 6.8498 Å, b = 6.8498 Å, c = 7.7112 Å
α = 63.63°, β = 63.63°, γ = 60.00°
Last column: nearest neighbours and their distance in Å.
Fractional coordinates of all 14 atoms:
Li: 0.5663 0.7415 0.6034  4 Au 2.66-2.93, 2 Li 2.69
Li: 0.2585 0.9112 0.3966  4 Au 2.66-2.93, 2 Li 2.69
Li: 0.4337 0.2585 0.3966  4 Au 2.66-2.93, 2 Li 2.69
Li: 0.0888 0.5663 0.6034  4 Au 2.66-2.93, 2 Li 2.69
Li: 0.9112 0.4337 0.3966  4 Au 2.66-2.93, 2 Li 2.69
Li: 0.7415 0.0888 0.6034  4 Au 2.66-2.93, 2 Li 2.69
Au: 0.6864 0.9335 0.2003  4 Li 2.66-2.93, 1 Er 2.90, 2 Au 2.93
Au: 0.9335 0.1798 0.2003  4 Li 2.66-2.93, 1 Er 2.90, 2 Au 2.93
Au: 0.0665 0.8202 0.7997  4 Li 2.66-2.93, 1 Er 2.90, 2 Au 2.93
Au: 0.8202 0.3136 0.7997  4 Li 2.66-2.93, 1 Er 2.90, 2 Au 2.93
Au: 0.1798 0.6864 0.2003  4 Li 2.66-2.93, 1 Er 2.90, 2 Au 2.93
Au: 0.3136 0.0665 0.7997  4 Li 2.66-2.93, 1 Er 2.90, 2 Au 2.93
Er: 0.3385 0.3385 0.9846  6 Au 2.90-2.99
Er: 0.6615 0.6615 0.0154  6 Au 2.90-2.99

***

2.
The following is a DFT calculation (GGA-PBE) of an optimized crystal structure of Ti2GePb2.

Properties
excess energy over the best structure of this formula in the dataset	507.3	meV per atom
energy of formation from the pure elements	40.81	kJ/mol of atoms

a = 4.0967 Å, b = 4.0967 Å, c = 7.5121 Å
α = 74.18°, β = 74.18°, γ = 90.00°
Last column: nearest neighbours and their distance in Å.
Fractional coordinates of all 5 atoms:
Pb: 0.2500 0.7500 0.5000  4 Pb 2.90, 4 Ti 3.04
Pb: 0.7500 0.2500 0.5000  4 Pb 2.90, 4 Ti 3.04
Ti: 0.5876 0.5876 0.8247  1 Ti 2.43
Ti: 0.4124 0.4124 0.1753  1 Ti 2.43
Ge: 0.0000 0.0000 0.0000  8 Ti 3.14

***

3.
The following is a DFT calculation (GGA-PBE) of an optimized crystal structure of BeMo2W.

Properties
energy of formation from the pure elements	28.08	kJ/mol of atoms

a = 2.6332 Å, b = 4.1270 Å, c = 5.4622 Å
α = 90.00°, β = 90.00°, γ = 90.00°
Last column: nearest neighbours and their distance in Å.
Fractional coordinates of all 4 atoms:
W: 0.5000 0.5000 0.2500  2 W 2.63, 2 Be 2.73, 8 Mo 2.85
Mo: 0.0000 0.0000 0.9824  3 Mo 2.54-2.63, 4 Be 2.76
Mo: 0.0000 0.0000 0.5176  3 Mo 2.54-2.63, 4 Be 2.76
Be: 0.5000 0.5000 0.7500  2 Be 2.63, 2 W 2.73, 8 Mo 2.76

***

| no. | M_tot (μB/atom) |
| --- | --- |
| 1 | 0.00 |
| 2 | 0.19 |
| 3 | 0.00 |